(1)
This record from Alexandria describes KLiSiSe3 after structural relaxation. The functional is PBE.

Properties
calculated total energy	-3.980	eV/atom
ρ	2651	kg/m3

Cell: 6.7801 6.7801 8.6578 Å, 98.30 98.30 90.16°
With the nearest neighbours (Å) after each atom.
Atoms (fractional coordinates):
K1 0.8094 0.8094 0.8423  7 Se 3.37-3.68
K2 0.1906 0.1906 0.1577  7 Se 3.37-3.68
Li1 0.2897 0.7103 0.5000  4 Se 2.61-2.65
Li2 0.7103 0.2897 0.5000  4 Se 2.61-2.65
Si1 0.1793 0.1793 0.7027  3 Se 2.19-2.20
Si2 0.8207 0.8207 0.2973  3 Se 2.19-2.20
Se1 0.3338 0.3338 0.5470  1 Si 2.19
Se2 0.2906 0.9025 0.7846  1 Si 2.20
Se3 0.9025 0.2906 0.7846  1 Si 2.20
Se4 0.0975 0.7094 0.2154  1 Si 2.20
Se5 0.7094 0.0975 0.2154  1 Si 2.20
Se6 0.6662 0.6662 0.4530  1 Si 2.19

(2)
This record from Alexandria describes Na2Tl3I2Cl4 after structural relaxation. The functional is PBE.

Properties
calculated total energy	-2.861	eV/atom
ρ	4609	kg/m3

Cell: 5.3597 5.3597 13.7616 Å, 101.23 101.23 90.00°
With the nearest neighbours (Å) after each atom.
Atoms (fractional coordinates):
Na1 0.4039 0.4039 0.8078  4 Cl 2.72
Na2 0.5961 0.5961 0.1922  4 Cl 2.72
Tl1 0.0000 0.0000 0.0000  8 Cl 3.40
Tl2 0.1468 0.1468 0.2936  4 Cl 3.22, 1 I 3.48
Tl3 0.8532 0.8532 0.7064  4 Cl 3.22, 1 I 3.48
I1 0.2783 0.2783 0.5566  1 Na 3.32, 1 Tl 3.48
I2 0.7217 0.7217 0.4434  1 Na 3.32, 1 Tl 3.48
Cl1 0.4208 0.9208 0.8416  2 Na 2.72
Cl2 0.9208 0.4208 0.8416  2 Na 2.72
Cl3 0.0792 0.5792 0.1584  2 Na 2.72
Cl4 0.5792 0.0792 0.1584  2 Na 2.72

(3)
This record from Alexandria describes TaV12 after structural relaxation. The functional is PBE.

Properties
formation energy from the elements	13	kJ/mol of atoms
calculated total energy	-9.195	eV/atom
ρ	7124	kg/m3

Cell: 5.0021 6.5706 6.5706 Å, 81.67 67.63 67.63°
With the nearest neighbours (Å) after each atom.
Atoms (fractional coordinates):
Ta1 0.0000 0.0000 0.0000  20 V 3.05-3.29
V1 0.5000 0.0000 0.5000  10 V 2.50-2.65
V2 0.0000 0.0000 0.5000  10 V 2.50-2.65
V3 0.5000 0.5000 0.0000  10 V 2.50-2.65
V4 0.0000 0.5000 0.0000  10 V 2.50-2.65
V5 0.0000 0.6439 0.3561  5 V 2.47-2.65
V6 0.0000 0.3561 0.6439  5 V 2.47-2.65
V7 0.6439 0.3561 0.3561  5 V 2.47-2.65
V8 0.3561 0.6439 0.6439  5 V 2.47-2.65
V9 0.5000 0.2040 0.7960  6 V 2.48-2.52
V10 0.5000 0.7960 0.2040  6 V 2.48-2.52
V11 0.7040 0.7960 0.7960  6 V 2.48-2.52
V12 0.2960 0.2040 0.2040  6 V 2.48-2.52

(4)
This record from Alexandria describes MgAlTeF2 after structural relaxation. The functional is PBE.

Properties
calculated total energy	-3.103	eV/atom
ρ	3105	kg/m3

Cell: 4.4387 5.8869 4.4387 Å, 90.00 90.00 90.00°
With the nearest neighbours (Å) after each atom.
Atoms (fractional coordinates):
Mg1 0.5000 0.5000 0.5000  4 Al 3.14
Te1 0.0000 0.0000 0.0000  4 F 2.22
Al1 0.0000 0.5000 0.0000  2 Te 2.94, 4 Mg 3.14
F1 0.0000 0.0000 0.5000  2 Te 2.22
F2 0.5000 0.0000 0.0000  2 Te 2.22

(5)
This record from Alexandria describes Fe2Ni9Ir after structural relaxation. The functional is PBE.

Properties
formation energy from the elements	-3	kJ/mol of atoms
calculated total energy	-6.517	eV/atom
ρ	10078	kg/m3

Cell: 3.5723 3.5723 10.7438 Å, 90.00 90.00 90.00°
With the nearest neighbours (Å) after each atom.
Atoms (fractional coordinates):
Fe1 0.0000 0.0000 0.3370  12 Ni 2.50-2.53
Fe2 0.0000 0.0000 0.6630  12 Ni 2.50-2.53
Ni1 0.5000 0.5000 0.0000  4 Ir 2.53, 8 Ni 2.58
Ni2 0.5000 0.5000 0.3360  8 Ni 2.50-2.51, 4 Fe 2.53
Ni3 0.5000 0.5000 0.6640  8 Ni 2.50-2.51, 4 Fe 2.53
Ni4 0.5000 0.0000 0.1728  8 Ni 2.50-2.58, 2 Fe 2.51, 2 Ir 2.58
Ni5 0.5000 0.0000 0.5000  4 Fe 2.50, 8 Ni 2.51-2.53
Ni6 0.5000 0.0000 0.8272  8 Ni 2.50-2.58, 2 Fe 2.51, 2 Ir 2.58
Ni7 0.0000 0.5000 0.1728  8 Ni 2.50-2.58, 2 Fe 2.51, 2 Ir 2.58
Ni8 0.0000 0.5000 0.5000  4 Fe 2.50, 8 Ni 2.51-2.53
Ni9 0.0000 0.5000 0.8272  8 Ni 2.50-2.58, 2 Fe 2.51, 2 Ir 2.58
Ir1 0.0000 0.0000 0.0000  12 Ni 2.53-2.58

(6)
This record from Alexandria describes Sr2MnOs after structural relaxation. The functional is PBE.

Properties
formation energy from the elements	88	kJ/mol of atoms
calculated total energy	-5.029	eV/atom
ρ	6982	kg/m3

Cell: 4.7610 4.7587 4.4133 Å, 90.00 90.00 90.00°
With the nearest neighbours (Å) after each atom.
Atoms (fractional coordinates):
Mn1 0.5000 0.0000 0.5000  8 Sr 3.25, 4 Os 3.37
Os1 0.0000 0.5000 0.5000  8 Sr 3.25, 4 Mn 3.37
Sr1 0.0000 0.0000 0.0000  4 Os 3.25, 4 Mn 3.25, 4 Sr 3.37
Sr2 0.5000 0.5000 0.0000  4 Mn 3.25, 4 Os 3.25, 4 Sr 3.37

> Among the records above, which one has the lowest calculated total energy?

TaV12

> ρ of number 4 (MgAlTeF2)?

3105 kg/m3

> The lowest ρ belongs to which entry?

KLiSiSe3

> Which of these has the highest ρ?

Fe2Ni9Ir